No. 1
## TaTl2Sb (PBEsol)

Data for a relaxed structure of TaTl2Sb.

Cell: 5.985 5.985 5.985 Å, 138.89 138.89 59.54°
Positions (direct):
Ta: 0.000 0.000 0.000
Tl: 0.250 0.750 0.500
Tl: 0.750 0.250 0.500
Sb: 0.500 0.500 0.000

Output
crystal system: tetragonal
energy above the most stable polymorph in this dataset: 310 meV per atom
E_form (uncorrected): 0.583 eV per atom
density: 12.88 g/cm³
magnetic moment: 0.00 μB per formula unit


No. 2
## ScTaMo2 (PBEsol)

Data for a relaxed structure of ScTaMo2.

Cell: 2.795 4.440 5.469 Å, 90.00 98.10 90.00°
Positions (direct):
Sc: 0.000 0.000 0.000
Ta: 0.500 0.000 0.500
Mo: 0.262 0.500 0.746
Mo: 0.738 0.500 0.254

Output
crystal system: monoclinic
energy above the most stable polymorph in this dataset: 0 meV per atom
density: 10.32 g/cm³
energy of formation from the pure elements: 0.10 eV per atom
magnetic moment: 0.00 μB per formula unit


No. 3
## Zr2Co (PBEsol)

Data for a relaxed structure of Zr2Co.

Cell: 5.602 5.602 6.141 Å, 90.00 90.00 145.57°
Positions (direct):
Zr: 0.000 0.000 0.000
Zr: 0.000 0.000 0.500
Zr: 0.289 0.711 0.750
Zr: 0.711 0.289 0.250
Co: 0.386 0.614 0.250
Co: 0.614 0.386 0.750

Output
crystal system: orthorhombic
density: 7.36 g/cm³
energy of formation from the pure elements: -0.25 eV per atom
magnetic moment: 0.00 μB per formula unit


No. 4
## HfCrRe3 (PBEsol)

Data for a relaxed structure of HfCrRe3.

Cell: 4.410 4.410 4.410 Å, 90.00 90.00 90.00°
Positions (direct):
Hf: 0.000 0.000 0.000
Cr: 0.500 0.500 0.500
Re: 0.000 0.500 0.500
Re: 0.500 0.000 0.500
Re: 0.500 0.500 0.000

Output
crystal system: cubic
density: 15.28 g/cm³
energy of formation from the pure elements: 1.03 eV per atom
magnetic moment: 0.00 μB per formula unit


No. 5
## CrPbSeBr2 (PBEsol)

Data for a relaxed structure of CrPbSeBr2.

Cell: 5.619 5.619 5.388 Å, 90.00 90.00 90.00°
Positions (direct):
Cr: 0.000 0.000 0.000
Pb: 0.500 0.500 0.500
Se: 0.500 0.500 0.000
Br: 0.000 0.500 0.500
Br: 0.500 0.000 0.500

Output
crystal system: tetragonal
E_form (uncorrected): 0.395 eV per atom
density: 4.86 g/cm³
magnetic moment: 4.66 μB per formula unit


No. 6
## KRu2Rh (PBEsol)

Data for a relaxed structure of KRu2Rh.

Cell: 2.668 4.400 6.543 Å, 90.00 98.48 90.00°
Positions (direct):
K: 0.000 0.000 0.000
Ru: 0.277 0.500 0.664
Ru: 0.723 0.500 0.336
Rh: 0.500 0.000 0.500

Output
crystal system: monoclinic
energy above the most stable polymorph in this dataset: 241 meV per atom
density: 7.52 g/cm³
energy of formation from the pure elements: 1.08 eV per atom
magnetic moment: 2.13 μB per formula unit


No. 7
## NaTaAs2 (PBEsol)

Data for a relaxed structure of NaTaAs2.

Cell: 7.101 7.101 7.101 Å, 124.98 124.98 81.58°
Positions (direct):
Na: 0.000 0.000 0.000
Na: 0.750 0.250 0.500
Ta: 0.250 0.750 0.500
Ta: 0.500 0.500 0.000
As: 0.189 0.125 0.564
As: 0.375 0.811 0.936
As: 0.561 0.625 0.436
As: 0.875 0.439 0.064

Output
crystal system: tetragonal
density: 5.08 g/cm³
energy of formation from the pure elements: 0.00 eV per atom
magnetic moment: 0.00 μB per formula unit


No. 8
## KSbPt2 (PBEsol)

Data for a relaxed structure of KSbPt2.

Cell: 3.428 3.428 7.629 Å, 90.00 90.00 90.00°
Positions (direct):
K: 0.000 0.000 0.000
Sb: 0.500 0.500 0.639
Pt: 0.000 0.000 0.469
Pt: 0.500 0.500 0.292

Output
crystal system: tetragonal
energy above the most stable polymorph in this dataset: 200 meV per atom
E_form (uncorrected): -0.054 eV per atom
density: 10.21 g/cm³
magnetic moment: 0.00 μB per formula unit


No. 9
## MnAg2Pt (PBEsol)

Data for a relaxed structure of MnAg2Pt.

Cell: 5.468 5.468 2.790 Å, 103.82 103.82 121.13°
Positions (direct):
Mn: 0.000 0.000 0.000
Ag: 0.000 0.500 0.500
Ag: 0.500 0.000 0.500
Pt: 0.500 0.500 0.000

Output
crystal system: monoclinic
energy above the most stable polymorph in this dataset: 98 meV per atom
density: 12.39 g/cm³
energy of formation from the pure elements: 0.12 eV per atom
magnetic moment: 4.13 μB per formula unit


No. 10
## HgAsSe2N (PBEsol)

Data for a relaxed structure of HgAsSe2N.

Cell: 5.155 5.155 3.596 Å, 90.00 90.00 90.00°
Positions (direct):
Hg: 0.000 0.000 0.000
As: 0.500 0.500 0.500
Se: 0.000 0.500 0.500
Se: 0.500 0.000 0.500
N: 0.500 0.500 0.000

Output
crystal system: tetragonal
energy above the most stable polymorph in this dataset: 0 meV per atom
E_form (uncorrected): 0.699 eV per atom
density: 7.77 g/cm³
magnetic moment: 0.00 μB per formula unit


No. 11
## Li3V2P5O18 (PBEsol)

Data for a relaxed structure of Li3V2P5O18.

Cell: 6.242 9.393 10.878 Å, 80.05 87.70 89.68°
Positions (direct):
Li: 0.002 0.408 0.364
Li: 0.113 0.700 0.824
Li: 0.481 0.233 0.137
Li: 0.519 0.767 0.863
Li: 0.887 0.300 0.176
Li: 0.998 0.592 0.636
V: 0.211 0.836 0.068
V: 0.321 0.278 0.563
V: 0.679 0.722 0.437
V: 0.789 0.164 0.932
P: 0.167 0.784 0.381
P: 0.197 0.099 0.352
P: 0.234 0.511 0.110
P: 0.285 0.086 0.861
P: 0.480 0.544 0.691
P: 0.520 0.456 0.309
P: 0.715 0.914 0.139
P: 0.766 0.489 0.890
P: 0.803 0.901 0.648
P: 0.833 0.216 0.619
O: 0.012 0.200 0.325
O: 0.012 0.316 0.553
O: 0.027 0.484 0.186
O: 0.087 0.135 0.937
O: 0.108 0.938 0.411
O: 0.171 0.790 0.241
O: 0.218 0.662 0.014
O: 0.263 0.918 0.889
O: 0.279 0.151 0.723
O: 0.307 0.136 0.473
O: 0.315 0.391 0.048
O: 0.317 0.448 0.640
O: 0.330 0.414 0.405
O: 0.350 0.080 0.247
O: 0.378 0.669 0.739
O: 0.378 0.730 0.436
O: 0.414 0.561 0.198
O: 0.493 0.131 0.917
O: 0.507 0.869 0.083
O: 0.586 0.439 0.802
O: 0.622 0.270 0.564
O: 0.622 0.331 0.261
O: 0.650 0.920 0.753
O: 0.670 0.586 0.595
O: 0.683 0.552 0.360
O: 0.685 0.609 0.952
O: 0.693 0.864 0.527
O: 0.721 0.849 0.277
O: 0.737 0.082 0.111
O: 0.782 0.338 0.986
O: 0.829 0.210 0.759
O: 0.892 0.062 0.589
O: 0.913 0.865 0.063
O: 0.973 0.516 0.814
O: 0.988 0.684 0.447
O: 0.988 0.800 0.675

Output
crystal system: triclinic
E_form (uncorrected): -2.229 eV per atom
density: 2.99 g/cm³
magnetic moment: 2.00 μB per formula unit


No. 12
## RuPtCl (PBEsol)

Data for a relaxed structure of RuPtCl.

Cell: 4.192 4.192 4.192 Å, 60.00 60.00 60.00°
Positions (direct):
Ru: 0.000 0.000 0.000
Pt: 0.250 0.250 0.250
Cl: 0.750 0.750 0.750

Output
crystal system: cubic
energy above the most stable polymorph in this dataset: 292 meV per atom
E_form (uncorrected): 0.795 eV per atom
density: 10.57 g/cm³
magnetic moment: 0.84 μB per formula unit